This record from the Open Quantum Materials Database describes a geometry-optimized MgU structure. The functional is PBE-GGA.

The space group is Pmmn (No. 59, origin choice 2) and the conventional cell measures 4.692, 14.549 and 5.073 Å, with angles of 90.00, 90.00 and 90.00 degrees. The distinct sites, in fractional coordinates, are Mg at (0.250, 0.138, 0.243), Mg at (0.250, 0.250, 0.754), Mg at (0.250, 0.750, 0.664), U at (0.250, 0.004, 0.708) and U at (0.250, 0.580, 0.173).

The uncorrected energy comes out at -6.1836 eV per atom. The calculation puts the magnetization at 0.54 μB per cell.

=====

This record from the Open Quantum Materials Database describes a geometry-optimized MgU structure. The functional is PBE-GGA.

The space group is Fm-3m (No. 225) and the conventional cell measures 6.236, 6.236 and 6.236 Å, with angles of 90.00, 90.00 and 90.00 degrees. The distinct sites, in fractional coordinates, are Mg at (0.000, 0.000, 0.000) and U at (0.000, 0.000, 0.500).

The uncorrected energy comes out at -4.9188 eV per atom. The calculation puts the magnetization at 17.00 μB per cell.

=====

This record from the Open Quantum Materials Database describes a geometry-optimized Mg2U structure. The functional is PBE-GGA.

The space group is Pmmn (No. 59, origin choice 2) and the conventional cell measures 5.132, 9.185 and 6.010 Å, with angles of 90.00, 90.00 and 90.00 degrees. The distinct sites, in fractional coordinates, are Mg at (0.250, 0.083, 0.093), Mg at (0.250, 0.250, 0.627), Mg at (0.250, 0.750, 0.080) and U at (0.250, 0.610, 0.574).

The uncorrected energy comes out at -4.3729 eV per atom. The calculation puts the magnetization at 10.06 μB per cell.

=====

This record from the Open Quantum Materials Database describes a geometry-optimized Mg2U3 structure. The functional is PBE-GGA.

The space group is R-3c (No. 167, hexagonal axes) and the conventional cell measures 8.2560, 8.2560 and 10.2268 Å, with angles of 90.00, 90.00 and 120.00 degrees. The distinct sites, in fractional coordinates, are Mg at (0.0000, 0.0000, 0.1229) and U at (0.0000, 0.3229, 0.2500).

The uncorrected energy comes out at -6.4235 eV per atom. The calculation puts the magnetization at 37.11 μB per cell.

=====

This record from the Open Quantum Materials Database describes a geometry-optimized Mg2U structure. The functional is PBE-GGA.

The space group is P4_2/mnm (No. 136) and the conventional cell measures 7.249, 7.249 and 4.810 Å, with angles of 90.00, 90.00 and 90.00 degrees. The distinct sites, in fractional coordinates, are Mg at (0.195, 0.195, 0.000) and U at (0.000, 0.000, 0.500).

The uncorrected energy comes out at -2.9540 eV per atom. The calculation puts the magnetization at 7.41 μB per cell.

=====

This record from the Open Quantum Materials Database describes a geometry-optimized MgU structure. The functional is PBE-GGA.

The space group is Pmmn (No. 59, origin choice 2) and the conventional cell measures 2.855, 4.886 and 11.937 Å, with angles of 90.00, 90.00 and 90.00 degrees. The distinct sites, in fractional coordinates, are Mg at (0.250, 0.250, 0.055), Mg at (0.250, 0.750, 0.188), U at (0.250, 0.250, 0.571) and U at (0.250, 0.750, 0.667).

The uncorrected energy comes out at -6.2804 eV per atom. The calculation puts the magnetization at 1.49 μB per cell.

=====

This record from the Open Quantum Materials Database describes a geometry-optimized MgU structure. The functional is PBE-GGA.

The space group is F-43m (No. 216) and the conventional cell measures 7.013, 7.013 and 7.013 Å, with angles of 90.00, 90.00 and 90.00 degrees. The distinct sites, in fractional coordinates, are Mg at (0.000, 0.000, 0.000) and U at (0.250, 0.250, 0.750).

The uncorrected energy comes out at -4.0127 eV per atom. The calculation puts the magnetization at 16.60 μB per cell.

=====

This record from the Open Quantum Materials Database describes a geometry-optimized Mg4U3 structure. The functional is PBE-GGA.

The space group is P2_1/m (No. 11) and the conventional cell measures 8.596, 5.047 and 8.606 Å, with angles of 90.00, 118.63 and 90.00 degrees. The distinct sites, in fractional coordinates, are Mg at (0.010, 0.250, 0.093), Mg at (0.131, 0.750, 0.644), Mg at (0.190, 0.250, 0.865), Mg at (0.423, 0.750, 0.056), U at (0.252, 0.750, 0.361), U at (0.287, 0.250, 0.501) and U at (0.469, 0.250, 0.350).

The calculation puts the magnetization at 1.41 μB per cell. For the polymorph energy (0 for the lowest one), the calculation gives 0 meV per atom.

=====

This record from the Open Quantum Materials Database describes a geometry-optimized MgU structure. The functional is PBE-GGA.

The space group is Pm (No. 6) and the conventional cell measures 6.023, 4.943 and 9.093 Å, with angles of 90.00, 100.37 and 90.00 degrees. The distinct sites, in fractional coordinates, are Mg at (0.000, 0.000, 0.000), Mg at (0.001, 0.000, 0.316), Mg at (0.258, 0.500, 0.318), Mg at (0.447, 0.000, 0.190), Mg at (0.547, 0.000, 0.868), Mg at (0.802, 0.500, 0.798), U at (0.064, 0.000, 0.657), U at (0.277, 0.500, 0.677), U at (0.314, 0.500, 0.962), U at (0.642, 0.000, 0.531), U at (0.715, 0.500, 0.140) and U at (0.775, 0.500, 0.451).

The uncorrected energy comes out at -6.0370 eV per atom. The calculation puts the magnetization at 9.98 μB per cell.

=====

This record from the Open Quantum Materials Database describes a geometry-optimized MgU structure. The functional is PBE-GGA.

The space group is P2_1/m (No. 11) and the conventional cell measures 7.804, 4.615 and 8.104 Å, with angles of 90.00, 106.20 and 90.00 degrees. The distinct sites, in fractional coordinates, are Mg at (0.006, 0.250, 0.127), Mg at (0.007, 0.250, 0.632), Mg at (0.329, 0.250, 0.951), U at (0.341, 0.750, 0.672), U at (0.354, 0.750, 0.244) and U at (0.368, 0.250, 0.524).

The uncorrected energy comes out at -6.0950 eV per atom. The calculation puts the magnetization at 1.28 μB per cell.

=====

This record from the Open Quantum Materials Database describes a geometry-optimized MgU structure. The functional is PBE-GGA.

The space group is Pm (No. 6) and the conventional cell measures 6.169, 4.926 and 9.003 Å, with angles of 90.00, 90.15 and 90.00 degrees. The distinct sites, in fractional coordinates, are Mg at (0.000, 0.000, 0.000), Mg at (0.114, 0.500, 0.466), Mg at (0.380, 0.000, 0.586), Mg at (0.499, 0.000, 0.899), Mg at (0.614, 0.500, 0.431), Mg at (0.883, 0.000, 0.313), U at (0.203, 0.500, 0.841), U at (0.310, 0.500, 0.126), U at (0.379, 0.000, 0.222), U at (0.704, 0.500, 0.056), U at (0.809, 0.500, 0.771) and U at (0.876, 0.000, 0.676).

The uncorrected energy comes out at -6.0717 eV per atom. The calculation puts the magnetization at 7.37 μB per cell.

=====

This record from the Open Quantum Materials Database describes a geometry-optimized MgUW structure. The functional is PBE-GGA.

The space group is F-43m (No. 216) and the conventional cell measures 6.508, 6.508 and 6.508 Å, with angles of 90.00, 90.00 and 90.00 degrees. The distinct sites, in fractional coordinates, are Mg at (0.000, 0.000, 0.000), U at (0.250, 0.250, 0.250) and W at (0.000, 0.000, 0.500).

The calculation puts the magnetization at 0.01 μB per cell. For the polymorph energy (0 for the lowest one), the calculation gives 622 meV per atom.

=====

This record from the Open Quantum Materials Database describes a geometry-optimized MgUW structure. The functional is PBE-GGA.

The space group is F-43m (No. 216) and the conventional cell measures 6.454, 6.454 and 6.454 Å, with angles of 90.00, 90.00 and 90.00 degrees. The distinct sites, in fractional coordinates, are Mg at (0.000, 0.000, 0.000), U at (0.000, 0.000, 0.500) and W at (0.250, 0.250, 0.750).

The calculation puts the magnetization at 0.07 μB per cell. For the polymorph energy (0 for the lowest one), the calculation gives 0 meV per atom.

=====

This record from the Open Quantum Materials Database describes a geometry-optimized MgZrU structure. The functional is PBE-GGA.

The space group is F-43m (No. 216) and the conventional cell measures 6.876, 6.876 and 6.876 Å, with angles of 90.00, 90.00 and 90.00 degrees. The distinct sites, in fractional coordinates, are Mg at (0.000, 0.000, 0.000), Zr at (0.250, 0.250, 0.250) and U at (0.250, 0.250, 0.750).

The calculation puts the magnetization at 13.81 μB per cell. For the polymorph energy (0 for the lowest one), the calculation gives 0 meV per atom.

=====

This record from the Open Quantum Materials Database describes a geometry-optimized MgZrU structure. The functional is PBE-GGA.

The space group is F-43m (No. 216) and the conventional cell measures 6.917, 6.917 and 6.917 Å, with angles of 90.00, 90.00 and 90.00 degrees. The distinct sites, in fractional coordinates, are Mg at (0.000, 0.000, 0.000), Zr at (0.000, 0.000, 0.500) and U at (0.250, 0.250, 0.250).

The calculation puts the magnetization at 16.14 μB per cell. For the polymorph energy (0 for the lowest one), the calculation gives 198 meV per atom.

=====

This record from the Open Quantum Materials Database describes a geometry-optimized Mg2W structure. The functional is PBE-GGA.

The space group is Pmmn (No. 59, origin choice 2) and the conventional cell measures 4.681, 8.664 and 5.377 Å, with angles of 90.00, 90.00 and 90.00 degrees. The distinct sites, in fractional coordinates, are Mg at (0.250, 0.075, 0.099), Mg at (0.250, 0.250, 0.576), Mg at (0.250, 0.750, 0.078) and W at (0.250, 0.579, 0.567).

The calculation puts the magnetization at 0.03 μB per cell. For the polymorph energy (0 for the lowest one), the calculation gives 102 meV per atom.

=====

This record from the Open Quantum Materials Database describes a geometry-optimized Mg2W structure. The functional is PBE-GGA.

The space group is Cmcm (No. 63) and the conventional cell measures 9.839, 5.045 and 4.500 Å, with angles of 90.00, 90.00 and 90.00 degrees. The distinct sites, in fractional coordinates, are Mg at (0.163, 0.174, 0.250) and W at (0.000, 0.359, 0.750).

The calculation puts the magnetization at 0.05 μB per cell. For the polymorph energy (0 for the lowest one), the calculation gives 147 meV per atom.

=====

This record from the Open Quantum Materials Database describes a geometry-optimized Mg4W3 structure. The functional is PBE-GGA.

The space group is P6_3/m (No. 176) and the conventional cell measures 7.8248, 7.8248 and 4.7516 Å, with angles of 90.00, 90.00 and 120.00 degrees. The distinct sites, in fractional coordinates, are Mg at (0.0782, 0.8226, 0.2500), Mg at (0.3333, 0.6667, 0.2500) and W at (0.1092, 0.5908, 0.7500).

The calculation puts the magnetization at 0.00 μB per cell. For the polymorph energy (0 for the lowest one), the calculation gives 105 meV per atom.

=====

This record from the Open Quantum Materials Database describes a geometry-optimized MgW structure. The functional is PBE-GGA.

The space group is P2_1/m (No. 11) and the conventional cell measures 6.019, 4.768 and 7.714 Å, with angles of 90.00, 101.35 and 90.00 degrees. The distinct sites, in fractional coordinates, are Mg at (0.133, 0.250, 0.054), Mg at (0.305, 0.250, 0.718), Mg at (0.355, 0.750, 0.944), W at (0.006, 0.750, 0.610), W at (0.206, 0.750, 0.333) and W at (0.452, 0.250, 0.392).

The calculation puts the magnetization at 0.03 μB per cell. For the polymorph energy (0 for the lowest one), the calculation gives 101 meV per atom.

=====

This record from the Open Quantum Materials Database describes a geometry-optimized MgW structure. The functional is PBE-GGA.

The space group is Pmmn (No. 59, origin choice 2) and the conventional cell measures 2.701, 4.759 and 5.412 Å, with angles of 90.00, 90.00 and 90.00 degrees. The distinct sites, in fractional coordinates, are Mg at (0.250, 0.250, 0.099) and W at (0.250, 0.750, 0.411).

The calculation puts the magnetization at 0.00 μB per cell. For the polymorph energy (0 for the lowest one), the calculation gives 153 meV per atom.

=====

This record from the Open Quantum Materials Database describes a geometry-optimized MgW structure. The functional is PBE-GGA.

The space group is P2_1/m (No. 11) and the conventional cell measures 5.877, 4.685 and 8.058 Å, with angles of 90.00, 100.78 and 90.00 degrees. The distinct sites, in fractional coordinates, are Mg at (0.055, 0.250, 0.214), Mg at (0.112, 0.750, 0.430), Mg at (0.397, 0.250, 0.568), W at (0.251, 0.250, 0.902), W at (0.298, 0.750, 0.095) and W at (0.452, 0.750, 0.805).

The calculation puts the magnetization at 0.01 μB per cell. For the polymorph energy (0 for the lowest one), the calculation gives 34 meV per atom.

=====

This record from the Open Quantum Materials Database describes a geometry-optimized Mg2W structure. The functional is PBE-GGA.

The space group is P4_2/mnm (No. 136) and the conventional cell measures 7.512, 7.512 and 2.613 Å, with angles of 90.00, 90.00 and 90.00 degrees. The distinct sites, in fractional coordinates, are Mg at (0.240, 0.240, 0.000) and W at (0.000, 0.000, 0.500).

The calculation puts the magnetization at 0.23 μB per cell. For the polymorph energy (0 for the lowest one), the calculation gives 592 meV per atom.

=====

This record from the Open Quantum Materials Database describes a geometry-optimized Mg2W structure. The functional is PBE-GGA.

The space group is P-62m (No. 189) and the conventional cell measures 5.0239, 5.0239 and 4.9311 Å, with angles of 90.00, 90.00 and 120.00 degrees. The distinct sites, in fractional coordinates, are Mg at (0.0000, 0.0000, 0.0000), Mg at (0.0000, 0.6462, 0.5000) and W at (0.3333, 0.6667, 0.0000).

The calculation puts the magnetization at 0.00 μB per cell. For the polymorph energy (0 for the lowest one), the calculation gives 92 meV per atom.

=====

This record from the Open Quantum Materials Database describes a geometry-optimized MgW structure. The functional is PBE-GGA.

The space group is Pnma (No. 62) and the conventional cell measures 4.573, 4.570 and 6.466 Å, with angles of 90.00, 90.00 and 90.00 degrees. The distinct sites, in fractional coordinates, are Mg at (0.004, 0.250, 0.125) and W at (0.002, 0.250, 0.625).

The calculation puts the magnetization at 0.00 μB per cell. For the polymorph energy (0 for the lowest one), the calculation gives 113 meV per atom.